[1]
{
  "formula": "Co2OsBr",
  "functional": "PBE",
  "state": "optimized geometry",
  "lattice_angstrom": [[2.798, 0.000, 0.000], [0.000, 2.798, 0.000], [0.000, 0.000, 7.227]],
  "species": ["Os", "Co", "Co", "Br"],
  "fractional_positions": [[0.500, 0.500, 0.250], [0.000, 0.000, 0.024], [0.000, 0.000, 0.476], [0.500, 0.500, 0.750]],
  "polymorph_energy_kj_per_mol_atoms": 10.8,
  "raw_formation_energy_mev_per_atom": 677,
  "dft_energy_ev_per_atom": -6.102,
  "total_magnetization_mub_per_cell": 1.4
}

=====

[2]
{
  "formula": "Co4OsBr",
  "functional": "PBE",
  "state": "optimized geometry",
  "lattice_angstrom": [[-3.021, -3.361, 1.741], [0.270, -1.322, 4.651], [-3.512, 1.266, 3.086]],
  "species": ["Co", "Co", "Co", "Co", "Br", "Os"],
  "fractional_positions": [[0.624, 0.624, 0.624], [0.624, 0.128, 0.624], [0.624, 0.624, 0.128], [0.128, 0.624, 0.624], [0.000, 0.000, 0.000], [0.250, 0.250, 0.250]],
  "raw_formation_energy_mev_per_atom": 835,
  "dft_energy_ev_per_atom": -6.053,
  "total_magnetization_mub_per_cell": 8.8
}

=====

[3]
{
  "formula": "CoOs2Br",
  "functional": "PBE",
  "state": "optimized geometry",
  "lattice_angstrom": [[4.402, -0.003, -0.124], [3.495, 2.677, -0.124], [0.743, 0.252, 6.607]],
  "species": ["Os", "Os", "Br", "Co"],
  "fractional_positions": [[0.954, 0.954, 0.009], [0.214, 0.214, 0.157], [0.650, 0.650, 0.490], [0.682, 0.682, 0.844]],
  "polymorph_energy_kj_per_mol_atoms": 12.3,
  "raw_formation_energy_mev_per_atom": 838,
  "dft_energy_ev_per_atom": -6.972,
  "total_magnetization_mub_per_cell": 1.6
}

=====

[4]
{
  "formula": "CoOs2Br",
  "functional": "PBE",
  "state": "optimized geometry",
  "lattice_angstrom": [[-3.081, -2.668, -2.037], [1.800, -4.127, 0.700], [-0.818, 3.183, 3.156]],
  "species": ["Co", "Os", "Os", "Br"],
  "fractional_positions": [[0.750, 0.250, 0.500], [0.000, 0.000, 0.000], [0.250, 0.750, 0.500], [0.500, 0.500, 0.000]],
  "polymorph_energy_kj_per_mol_atoms": 55.2,
  "raw_formation_energy_mev_per_atom": 1283,
  "dft_energy_ev_per_atom": -6.527,
  "total_magnetization_mub_per_cell": 0.9
}

=====

[5]
{
  "formula": "CoOsBr2",
  "functional": "PBE",
  "state": "optimized geometry",
  "lattice_angstrom": [[4.680, 0.000, 0.000], [2.340, 4.053, 0.000], [2.340, 1.351, 3.821]],
  "species": ["Os", "Br", "Br", "Co"],
  "fractional_positions": [[0.750, 0.750, 0.750], [0.250, 0.250, 0.250], [0.000, 0.000, 0.000], [0.500, 0.500, 0.500]],
  "polymorph_energy_kj_per_mol_atoms": 111.3,
  "raw_formation_energy_mev_per_atom": 1593,
  "dft_energy_ev_per_atom": -3.827,
  "total_magnetization_mub_per_cell": 4.0
}

=====

[6]
{
  "formula": "CoOs2Br",
  "functional": "PBE",
  "state": "optimized geometry",
  "lattice_angstrom": [[-1.600, 2.241, -0.220], [0.493, -1.530, -2.246], [-7.944, -5.476, 1.986]],
  "species": ["Co", "Os", "Os", "Br"],
  "fractional_positions": [[0.500, 0.500, 0.768], [0.500, 0.500, 0.205], [0.000, 0.000, 0.981], [0.000, 0.000, 0.547]],
  "polymorph_energy_kj_per_mol_atoms": 24.2,
  "raw_formation_energy_mev_per_atom": 962,
  "dft_energy_ev_per_atom": -6.848,
  "total_magnetization_mub_per_cell": 1.9
}

=====

[7]
{
  "formula": "Co2OsBr",
  "functional": "PBE",
  "state": "optimized geometry",
  "lattice_angstrom": [[-0.055, 2.214, 2.620], [-1.336, -0.161, 3.156], [5.682, -1.908, 5.124]],
  "species": ["Br", "Co", "Co", "Os"],
  "fractional_positions": [[0.750, 0.750, 0.750], [0.432, 0.432, 0.457], [0.068, 0.068, 0.043], [0.250, 0.250, 0.250]],
  "polymorph_energy_kj_per_mol_atoms": 15.2,
  "raw_formation_energy_mev_per_atom": 723,
  "dft_energy_ev_per_atom": -6.055,
  "total_magnetization_mub_per_cell": 0.0
}

=====

[8]
{
  "formula": "CoOs3Br",
  "functional": "PBE",
  "state": "optimized geometry",
  "lattice_angstrom": [[-2.358, 0.046, 3.859], [-2.471, -3.492, -1.468], [2.965, -2.873, 1.846]],
  "species": ["Br", "Os", "Os", "Os", "Co"],
  "fractional_positions": [[0.500, 0.500, 0.500], [0.000, 0.000, 0.500], [0.500, 0.000, 0.000], [0.000, 0.500, 0.000], [0.000, 0.000, 0.000]],
  "polymorph_energy_kj_per_mol_atoms": 0.0,
  "raw_formation_energy_mev_per_atom": 2297,
  "dft_energy_ev_per_atom": -6.197,
  "total_magnetization_mub_per_cell": 4.6
}